Entry 1:
The following is a DFT calculation (GGA-PBE) of crystalline La2BiOF at its relaxed geometry.

The value obtained for the formation energy from raw total energies is -2.678 eV/atom. For the total magnetization, the calculation gives 0.00 μB/f.u. As for the density of states at the Fermi level: 0.424 states/eV/f.u. The total energy is -6.791 eV/atom.

The structure belongs to space group I-4m2 (No. 119); the cell edges are 4.1474, 4.1474 and 13.2810 Å and the angles 90.00°, 90.00° and 90.00°. The inequivalent atoms are La at (0.0000, 0.0000, 0.1485), Bi at (0.0000, 0.0000, 0.5000), O at (0.0000, 0.5000, 0.2500) and F at (0.0000, 0.5000, 0.7500).


Entry 2:
The following is a DFT calculation (GGA-PBE) of crystalline LaBiPb2F at its relaxed geometry.

The value obtained for the formation energy from raw total energies is -0.914 eV/atom. For the total magnetization, the calculation gives 0.00 μB/f.u. As for the density of states at the Fermi level: 3.951 states/eV/f.u. The total energy is -4.534 eV/atom.

The structure belongs to space group P4/mmm (No. 123); the cell edges are 5.4319, 5.4319 and 4.8715 Å and the angles 90.00°, 90.00° and 90.00°. The inequivalent atoms are La at (0.0000, 0.0000, 0.0000), Bi at (0.5000, 0.5000, 0.0000), Pb at (0.0000, 0.5000, 0.5000) and F at (0.0000, 0.0000, 0.5000).


Entry 3:
The following is a DFT calculation (GGA-PBE) of crystalline Rb2LaBiF6 at its relaxed geometry.

The value obtained for the formation energy from raw total energies is -2.765 eV/atom. For the total magnetization, the calculation gives 2.00 μB/f.u. As for the density of states at the Fermi level: 0.000 states/eV/f.u. The total energy is -4.963 eV/atom.

The structure belongs to space group I4/mmm (No. 139); the cell edges are 7.4972, 7.4972 and 9.3727 Å and the angles 90.00°, 90.00° and 90.00°. The inequivalent atoms are Rb at (0.0000, 0.5000, 0.2500), La at (0.0000, 0.0000, 0.0000), Bi at (0.0000, 0.0000, 0.5000), F at (0.0000, 0.0000, 0.2515) and F at (0.2164, 0.2164, 0.0000).


Entry 4:
The following is a DFT calculation (GGA-PBE) of crystalline La2ScBiF at its relaxed geometry.

The value obtained for the formation energy from raw total energies is -1.148 eV/atom. For the total magnetization, the calculation gives 0.00 μB/f.u. As for the density of states at the Fermi level: 4.794 states/eV/f.u. The total energy is -5.536 eV/atom.

The structure belongs to space group P4/mmm (No. 123); the cell edges are 4.8164, 4.8164 and 5.9724 Å and the angles 90.00°, 90.00° and 90.00°. The inequivalent atoms are La at (0.0000, 0.5000, 0.0000), Sc at (0.0000, 0.0000, 0.5000), Bi at (0.5000, 0.5000, 0.5000) and F at (0.5000, 0.5000, 0.0000).


- formation energy from raw total energies of number 3 (Rb2LaBiF6)?
  -2.765 eV/atom